Here is K2TcAg after structural relaxation from Alexandria. Energies are from PBE-GGA.

DFT total energy	-42.4	eV/cell

Lattice parameters (Å, degrees): 9.3432 9.3432 5.9514 90.00 90.00 90.00
Closest atoms and distances in Å follow each position.
Space group I-42d (No. 122)
Asymmetric unit:
K1 0.2179 0.7500 0.1250 (multiplicity 8)  2 K 3.04, 2 Ag 3.19
Tc1 0.0000 0.0000 0.5000 (multiplicity 4)  2 Ag 2.98
Ag1 0.0000 0.0000 0.0000 (multiplicity 4)  2 Tc 2.98, 4 K 3.19



Here is Ca2HgHRu after structural relaxation from Alexandria. Energies are from PBE-GGA.

DFT total energy	-16.7	eV/cell

Lattice parameters (Å, degrees): 4.5384 4.5384 4.4832 90.00 90.00 90.00
Closest atoms and distances in Å follow each position.
Space group P4/mmm (No. 123)
Asymmetric unit:
Ca1 0.0000 0.5000 0.0000 (multiplicity 2)  2 H 2.27
Hg1 0.0000 0.0000 0.5000 (multiplicity 1)  2 H 2.24
H1 0.0000 0.0000 0.0000 (multiplicity 1)  2 Hg 2.24, 4 Ca 2.27
Ru1 0.5000 0.5000 0.5000 (multiplicity 1)  8 Ca 3.19, 4 Hg 3.21



Here is DyMo2N after structural relaxation from Alexandria. Energies are from PBE-GGA.

energy relative to the elements, uncorrected	0.319	eV/atom
DFT total energy	-99.9	eV/cell

Lattice parameters (Å, degrees): 3.2970 3.2970 23.1042 90.00 90.00 120.00
Closest atoms and distances in Å follow each position.
Space group R-3m (No. 166, hexagonal axes)
Asymmetric unit:
Dy1 0.0000 0.0000 0.0000 (multiplicity 3)  2 Mo 2.93
Mo1 0.0000 0.0000 0.1266 (multiplicity 6)  3 N 2.12
N1 0.0000 0.0000 0.5000 (multiplicity 3)  6 Mo 2.12



Here is NiBPW2 after structural relaxation from Alexandria. Energies are from PBE-GGA.

DFT total energy	-42.1	eV/cell

Lattice parameters (Å, degrees): 4.2696 4.2696 3.5852 90.00 90.00 90.00
Closest atoms and distances in Å follow each position.
Space group P4/mmm (No. 123)
Asymmetric unit:
Ni1 0.0000 0.0000 0.0000 (multiplicity 1)  2 B 1.79
B1 0.0000 0.0000 0.5000 (multiplicity 1)  2 Ni 1.79
P1 0.5000 0.5000 0.0000 (multiplicity 1)  8 W 2.79, 4 Ni 3.02
W1 0.0000 0.5000 0.5000 (multiplicity 2)  2 B 2.13



Here is TiGaIr2 after structural relaxation from Alexandria. Energies are from PBE-GGA.

DFT total energy	-90.8	eV/cell

Lattice parameters (Å, degrees): 4.1606 4.1606 13.2888 90.00 90.00 120.00
Closest atoms and distances in Å follow each position.
Space group R3m (No. 160, hexagonal axes)
Asymmetric unit:
Ti1 0.0000 0.0000 0.0000 (multiplicity 3)  6 Ir 2.51-2.63, 1 Ga 2.63
Ga1 0.0000 0.0000 0.1979 (multiplicity 3)  7 Ir 2.63-2.87, 1 Ti 2.63
Ir1 0.0000 0.0000 0.4136 (multiplicity 3)  1 Ir 2.63, 3 Ti 2.63, 4 Ga 2.87
Ir2 0.0000 0.0000 0.6113 (multiplicity 3)  3 Ti 2.51, 3 Ga 2.63, 1 Ir 2.63



Here is BeFe2P after structural relaxation from Alexandria. Energies are from PBE-GGA.

DFT total energy	-102.6	eV/cell

Lattice parameters (Å, degrees): 3.3992 3.3992 15.7518 90.00 90.00 90.00
Closest atoms and distances in Å follow each position.
Space group I-42d (No. 122)
Asymmetric unit:
Be1 0.0000 0.0000 0.0000 (multiplicity 4)  4 Fe 2.30, 4 P 2.40
Fe1 0.2421 0.2500 0.1250 (multiplicity 8)  2 Be 2.30, 2 P 2.32, 4 Fe 2.37-2.44
P1 0.0000 0.0000 0.5000 (multiplicity 4)  4 Fe 2.32, 4 Be 2.40



Here is HfBe2Os2 after structural relaxation from Alexandria. Energies are from PBE-GGA.

DFT total energy	-80.0	eV/cell

Lattice parameters (Å, degrees): 7.0328 7.0328 2.7180 90.00 90.00 90.00
Closest atoms and distances in Å follow each position.
Space group P4/mbm (No. 127)
Asymmetric unit:
Hf1 0.0000 0.0000 0.0000 (multiplicity 2)  2 Hf 2.72, 4 Os 2.73, 8 Be 2.98
Be1 0.1564 0.3436 0.5000 (multiplicity 4)  6 Os 2.46-2.47, 2 Be 2.72
Os1 0.1369 0.6369 0.0000 (multiplicity 4)  6 Be 2.46-2.47, 3 Os 2.72, 2 Hf 2.73



Here is Li2TiSn4 after structural relaxation from Alexandria. Energies are from PBE-GGA.

DFT total energy	-58.4	eV/cell

Lattice parameters (Å, degrees): 6.6453 6.6453 6.8902 90.00 90.00 90.00
Closest atoms and distances in Å follow each position.
Space group I4/mmm (No. 139)
Asymmetric unit:
Li1 0.0000 0.5000 0.0000 (multiplicity 4)  8 Sn 2.91
Ti1 0.0000 0.0000 0.0000 (multiplicity 2)  8 Sn 2.91
Sn1 0.2500 0.2500 0.2500 (multiplicity 8)  4 Li 2.91, 2 Ti 2.91



Here is AcSmTl6 after structural relaxation from Alexandria. Energies are from PBE-GGA.

DFT total energy	-25.4	eV/cell

Lattice parameters (Å, degrees): 4.9157 4.9157 9.8036 90.00 90.00 90.00
Closest atoms and distances in Å follow each position.
Space group P4/mmm (No. 123)
Asymmetric unit:
Ac1 0.0000 0.0000 0.0000 (multiplicity 1)  12 Tl 3.48-3.54
Sm1 0.0000 0.0000 0.5000 (multiplicity 1)  12 Tl 3.41-3.48
Tl1 0.0000 0.5000 0.2595 (multiplicity 4)  8 Tl 3.41-3.54, 2 Sm 3.41, 2 Ac 3.54
Tl2 0.5000 0.5000 0.0000 (multiplicity 1)  4 Ac 3.48, 8 Tl 3.54
Tl3 0.5000 0.5000 0.5000 (multiplicity 1)  8 Tl 3.41, 4 Sm 3.48



Here is SiPt2N after structural relaxation from Alexandria. Energies are from PBE-GGA.

energy relative to the elements, uncorrected	0.205	eV/atom
DFT total energy	-100.0	eV/cell

Lattice parameters (Å, degrees): 4.7357 4.7357 11.4704 90.00 90.00 90.00
Closest atoms and distances in Å follow each position.
Space group I-42d (No. 122)
Asymmetric unit:
Si1 0.0000 0.0000 0.0000 (multiplicity 4)  4 Pt 2.41
Pt1 0.1775 0.2500 0.6250 (multiplicity 8)  2 N 2.04
N1 0.0000 0.0000 0.5000 (multiplicity 4)  4 Pt 2.04



Here is NaCrGa3 after structural relaxation from Alexandria. Energies are from PBE-GGA.

DFT total energy	-19.5	eV/cell

Lattice parameters (Å, degrees): 4.7389 4.7389 4.7389 90.00 90.00 90.00
Closest atoms and distances in Å follow each position.
Space group Pm-3m (No. 221)
Asymmetric unit:
Na1 0.0000 0.0000 0.0000 (multiplicity 1)  12 Ga 3.35
Cr1 0.5000 0.5000 0.5000 (multiplicity 1)  6 Ga 2.37
Ga1 0.0000 0.5000 0.5000 (multiplicity 3)  2 Cr 2.37



Here is Al4Ru after structural relaxation from Alexandria. Energies are from PBE-GGA.

DFT total energy	-52.1	eV/cell

Lattice parameters (Å, degrees): 4.9577 4.9577 6.5298 90.00 90.00 90.00
Closest atoms and distances in Å follow each position.
Space group P-42_1c (No. 114)
Asymmetric unit:
Al1 0.1116 0.2449 0.3422 (multiplicity 8)  2 Ru 2.52-2.60, 6 Al 2.67-2.79
Ru1 0.0000 0.0000 0.0000 (multiplicity 2)  8 Al 2.52-2.60